## LaBeMo2 (PBE)

Data for a relaxed LaBeMo2 crystal.

Output
**Energy relative to the elements**: 0.59 eV/atom

a b c (Å): 6.617 6.617 6.617
angles (deg): 90.00 90.00 90.00
Space group F-43m (No. 216)
One atom of each set of equivalent atoms:
La 0.000 0.000 0.000 x4
Be 0.250 0.250 0.750 x4
Mo 0.000 0.000 0.500 x4
Mo 0.250 0.250 0.250 x4

---

## La2BeMo (PBE)

Data for a relaxed La2BeMo crystal.

Output
**Energy relative to the elements**: 0.21 eV/atom

a b c (Å): 4.1658 4.1658 21.9337
angles (deg): 90.00 90.00 120.00
Space group R3m (No. 160, hexagonal axes)
One atom of each set of equivalent atoms:
La 0.0000 0.0000 0.0000 x3
La 0.0000 0.0000 0.1715 x3
Be 0.0000 0.0000 0.7527 x3
Mo 0.0000 0.0000 0.4190 x3

---

What is the formula in the first record? LaBeMo2

---

What is the formula in the second record? La2BeMo

---

Among the records above, which one has the highest energy relative to the elements? LaBeMo2